1.
## La3Pr2Ho3 (PBE-GGA)

Data for La3Pr2Ho3 after structural relaxation. Values from VASP.

Quantum ESPRESSO input file:
```
&SYSTEM
  ibrav = 0, nat = 8, ntyp = 3
/
ATOMIC_SPECIES
La 138.91 La.upf
Pr 140.91 Pr.upf
Ho 164.93 Ho.upf
CELL_PARAMETERS angstrom
-1.8836 2.9653 -1.1547
-5.2454 -3.5012 -0.4350
-6.2318 2.4147 10.4458
ATOMIC_POSITIONS crystal
La 0.6240 0.9607 0.7521
La 0.5000 0.5000 0.0000
La 0.3760 0.0393 0.2479
Pr 0.2526 0.2555 0.4948
Pr 0.7474 0.7445 0.5052
Ho 0.1244 0.4582 0.7514
Ho 0.8756 0.5418 0.2486
Ho 0.0000 0.0000 0.0000
```

Summary:
SG: C2/m
Energy in eV per atom: -4.75
Calculated formation energy in eV per atom: 0.014
Relative energy among the computed polymorphs in eV/atom: 0.000

---

2.
## La7Pr12Ho (PBE-GGA)

Data for La7Pr12Ho after structural relaxation. Values from VASP.

Quantum ESPRESSO input file:
```
&SYSTEM
  ibrav = 0, nat = 20, ntyp = 3
/
ATOMIC_SPECIES
La 138.91 La.upf
Pr 140.91 Pr.upf
Ho 164.93 Ho.upf
CELL_PARAMETERS angstrom
9.9165 -1.1165 -0.5585
-2.9662 -1.2543 9.4617
-4.4512 -6.8010 -5.8163
ATOMIC_POSITIONS crystal
La 0.5000 0.0000 0.5000
La 0.5000 0.5000 0.0000
La 0.0000 0.5000 0.5000
La 0.5000 0.5000 0.5000
La 0.0000 0.5000 0.0000
La 0.0000 0.0000 0.5000
La 0.5000 0.0000 0.0000
Pr 0.7233 0.7931 0.5164
Pr 0.7233 0.2069 0.9303
Pr 0.2767 0.2069 0.4836
Pr 0.2767 0.7931 0.0697
Pr 0.0697 0.2767 0.7931
Pr 0.5164 0.7233 0.7931
Pr 0.9303 0.7233 0.2069
Pr 0.4836 0.2767 0.2069
Pr 0.7931 0.5164 0.7233
Pr 0.2069 0.4836 0.2767
Pr 0.2069 0.9303 0.7233
Pr 0.7931 0.0697 0.2767
Ho 0.0000 0.0000 0.0000
```

Summary:
SG: Im-3
Energy in eV per atom: -4.27
Calculated formation energy in eV per atom: 0.553
Relative energy among the computed polymorphs in eV/atom: 0.375

---

3.
## LaPrHo4 (PBE-GGA)

Data for LaPrHo4 after structural relaxation. Values from VASP.

Quantum ESPRESSO input file:
```
&SYSTEM
  ibrav = 0, nat = 6, ntyp = 3
/
ATOMIC_SPECIES
Pr 140.91 Pr.upf
Ho 164.93 Ho.upf
La 138.91 La.upf
CELL_PARAMETERS angstrom
-6.4895 -1.5828 0.2449
-2.4720 -4.6208 -4.1493
-1.9012 -5.9513 2.3763
ATOMIC_POSITIONS crystal
Pr 0.0000 0.0000 0.0000
Ho 0.6253 0.6253 0.1241
Ho 0.6253 0.1241 0.6253
Ho 0.6253 0.6253 0.6253
Ho 0.1241 0.6253 0.6253
La 0.2500 0.2500 0.2500
```

Summary:
SG: F-43m
Energy in eV per atom: -4.39
Calculated formation energy in eV per atom: 0.278
Relative energy among the computed polymorphs in eV/atom: 0.251

---

4.
## La6Pr12Ho (PBE-GGA)

Data for La6Pr12Ho after structural relaxation. Values from VASP.

Quantum ESPRESSO input file:
```
&SYSTEM
  ibrav = 0, nat = 19, ntyp = 3
/
ATOMIC_SPECIES
La 138.91 La.upf
Pr 140.91 Pr.upf
Ho 164.93 Ho.upf
CELL_PARAMETERS angstrom
-8.8502 -0.3557 0.0291
0.1761 -6.2454 -6.2784
0.2198 -6.3128 6.2092
ATOMIC_POSITIONS crystal
La 0.7345 0.9050 0.2987
La 0.7013 0.2655 0.0950
La 0.0950 0.7013 0.2655
La 0.2655 0.0950 0.7013
La 0.2987 0.7345 0.9050
La 0.9050 0.2987 0.7345
Pr 0.7817 0.5324 0.4360
Pr 0.4360 0.7817 0.5324
Pr 0.5324 0.4360 0.7817
Pr 0.2183 0.4676 0.5640
Pr 0.5640 0.2183 0.4676
Pr 0.4676 0.5640 0.2183
Pr 0.0214 0.1831 0.3624
Pr 0.8169 0.6376 0.9786
Pr 0.6376 0.9786 0.8169
Pr 0.9786 0.8169 0.6376
Pr 0.1831 0.3624 0.0214
Pr 0.3624 0.0214 0.1831
Ho 0.0000 0.0000 0.0000
```

Summary:
SG: R-3
Energy in eV per atom: -4.71
Calculated formation energy in eV per atom: 0.108
Relative energy among the computed polymorphs in eV/atom: 0.000

---

5.
## LaPr15Ho4 (PBE-GGA)

Data for LaPr15Ho4 after structural relaxation. Values from VASP.

Quantum ESPRESSO input file:
```
&SYSTEM
  ibrav = 0, nat = 20, ntyp = 3
/
ATOMIC_SPECIES
La 138.91 La.upf
Pr 140.91 Pr.upf
Ho 164.93 Ho.upf
CELL_PARAMETERS angstrom
5.2110 0.0000 0.0000
0.0000 5.2110 0.0000
0.0000 0.0000 25.9754
ATOMIC_POSITIONS crystal
La 0.0000 0.0000 0.0000
Pr 0.5000 0.5000 0.0000
Pr 0.5000 0.5000 0.2030
Pr 0.5000 0.5000 0.4007
Pr 0.5000 0.5000 0.5993
Pr 0.5000 0.5000 0.7970
Pr 0.5000 0.0000 0.1027
Pr 0.5000 0.0000 0.3014
Pr 0.5000 0.0000 0.5000
Pr 0.5000 0.0000 0.6986
Pr 0.5000 0.0000 0.8973
Pr 0.0000 0.5000 0.1027
Pr 0.0000 0.5000 0.3014
Pr 0.0000 0.5000 0.5000
Pr 0.0000 0.5000 0.6986
Pr 0.0000 0.5000 0.8973
Ho 0.0000 0.0000 0.2020
Ho 0.0000 0.0000 0.4007
Ho 0.0000 0.0000 0.5993
Ho 0.0000 0.0000 0.7980
```

Summary:
SG: P4/mmm
Energy in eV per atom: -4.73
Calculated formation energy in eV per atom: 0.013

---

6.
## La2Pr5Ho5 (PBE-GGA)

Data for La2Pr5Ho5 after structural relaxation. Values from VASP.

Quantum ESPRESSO input file:
```
&SYSTEM
  ibrav = 0, nat = 12, ntyp = 3
/
ATOMIC_SPECIES
La 138.91 La.upf
Pr 140.91 Pr.upf
Ho 164.93 Ho.upf
CELL_PARAMETERS angstrom
5.0145 0.0000 1.0715
2.2118 7.6329 1.9186
0.2921 0.6333 10.9022
ATOMIC_POSITIONS crystal
La 0.9176 0.4132 0.7516
La 0.0824 0.5868 0.2484
Pr 0.8347 0.8312 0.4994
Pr 0.2479 0.7512 0.7530
Pr 0.7521 0.2488 0.2470
Pr 0.1653 0.1688 0.5006
Pr 0.0000 0.0000 0.0000
Ho 0.5000 0.5000 0.5000
Ho 0.3332 0.3327 0.0008
Ho 0.4167 0.9176 0.2489
Ho 0.5833 0.0824 0.7511
Ho 0.6668 0.6673 0.9992
```

Summary:
SG: C2/m
Energy in eV per atom: -4.70
Calculated formation energy in eV per atom: 0.022

---

7.
## La4Pr5Ho2 (PBE-GGA)

Data for La4Pr5Ho2 after structural relaxation. Values from VASP.

Quantum ESPRESSO input file:
```
&SYSTEM
  ibrav = 0, nat = 11, ntyp = 3
/
ATOMIC_SPECIES
La 138.91 La.upf
Pr 140.91 Pr.upf
Ho 164.93 Ho.upf
CELL_PARAMETERS angstrom
3.5427 0.0000 0.0000
0.0000 8.9407 1.5286
-1.7713 -0.5978 12.2842
ATOMIC_POSITIONS crystal
La 0.6784 0.5275 0.3569
La 0.0454 0.6350 0.0908
La 0.3216 0.4725 0.6431
La 0.9546 0.3650 0.9092
Pr 0.1406 0.8892 0.2811
Pr 0.8594 0.1108 0.7189
Pr 0.2292 0.1773 0.4584
Pr 0.5000 0.0000 0.0000
Pr 0.7708 0.8227 0.5416
Ho 0.9108 0.7346 0.8217
Ho 0.0892 0.2654 0.1783
```

Summary:
SG: C2/m
Energy in eV per atom: -4.67
Calculated formation energy in eV per atom: 0.128
Relative energy among the computed polymorphs in eV/atom: 0.055

---

8.
## LaPrHo (PBE-GGA)

Data for LaPrHo after structural relaxation. Values from VASP.

Quantum ESPRESSO input file:
```
&SYSTEM
  ibrav = 0, nat = 6, ntyp = 3
/
ATOMIC_SPECIES
La 138.91 La.upf
Ho 164.93 Ho.upf
Pr 140.91 Pr.upf
CELL_PARAMETERS angstrom
5.5902 0.0000 0.0000
0.0000 3.5793 0.0000
0.0000 1.7896 10.4638
ATOMIC_POSITIONS crystal
La 0.2500 0.1139 0.7723
La 0.7500 0.8861 0.2277
Ho 0.2500 0.4587 0.0825
Ho 0.7500 0.5413 0.9175
Pr 0.7500 0.7076 0.5848
Pr 0.2500 0.2924 0.4152
```

Summary:
SG: Cmcm
Energy in eV per atom: -4.72
Calculated formation energy in eV per atom: 0.037
Relative energy among the computed polymorphs in eV/atom: 0.018

---

9.
## La3PrHo2 (PBE-GGA)

Data for La3PrHo2 after structural relaxation. Values from VASP.

Quantum ESPRESSO input file:
```
&SYSTEM
  ibrav = 0, nat = 6, ntyp = 3
/
ATOMIC_SPECIES
La 138.91 La.upf
Pr 140.91 Pr.upf
Ho 164.93 Ho.upf
CELL_PARAMETERS angstrom
3.5074 0.0000 0.0000
0.0000 6.0544 0.0000
-1.7537 -3.0272 9.9386
ATOMIC_POSITIONS crystal
La 0.0000 0.5000 0.0000
La 0.8107 0.8107 0.6214
La 0.1893 0.1893 0.3786
Pr 0.0000 0.0000 0.0000
Ho 0.6376 0.6376 0.2753
Ho 0.3624 0.3624 0.7247
```

Summary:
SG: Immm
Energy in eV per atom: -4.49
Calculated formation energy in eV per atom: 0.292
Relative energy among the computed polymorphs in eV/atom: 0.156

---

10.
## LaPr4Ho3 (PBE-GGA)

Data for LaPr4Ho3 after structural relaxation. Values from VASP.

Quantum ESPRESSO input file:
```
&SYSTEM
  ibrav = 0, nat = 16, ntyp = 3
/
ATOMIC_SPECIES
La 138.91 La.upf
Pr 140.91 Pr.upf
Ho 164.93 Ho.upf
CELL_PARAMETERS angstrom
6.3757 0.0000 0.0000
0.0000 7.3965 0.0000
0.0000 0.0000 11.7667
ATOMIC_POSITIONS crystal
La 0.1465 0.3742 0.0000
La 0.6465 0.6258 0.5000
Pr 0.1404 0.8696 0.0000
Pr 0.6544 0.1300 0.0000
Pr 0.9831 0.1261 0.2551
Pr 0.4831 0.8739 0.2449
Pr 0.1544 0.8700 0.5000
Pr 0.6404 0.1304 0.5000
Pr 0.4831 0.8739 0.7551
Pr 0.9831 0.1261 0.7449
Ho 0.6468 0.6218 0.0000
Ho 0.9804 0.6201 0.2502
Ho 0.4804 0.3799 0.2498
Ho 0.1468 0.3782 0.5000
Ho 0.4804 0.3799 0.7502
Ho 0.9804 0.6201 0.7498
```

Summary:
SG: Pmn2_1
Energy in eV per atom: -4.69
Calculated formation energy in eV per atom: 0.034
Relative energy among the computed polymorphs in eV/atom: 0.000

---

11.
## La2PrHo2 (PBE-GGA)

Data for La2PrHo2 after structural relaxation. Values from VASP.

Quantum ESPRESSO input file:
```
&SYSTEM
  ibrav = 0, nat = 10, ntyp = 3
/
ATOMIC_SPECIES
La 138.91 La.upf
Pr 140.91 Pr.upf
Ho 164.93 Ho.upf
CELL_PARAMETERS angstrom
-1.0945 -5.2267 -2.1880
4.7729 2.8415 -1.5648
6.1300 -5.1761 9.2981
ATOMIC_POSITIONS crystal
La 0.3333 0.6667 0.6007
La 0.6667 0.3333 0.1007
La 0.6667 0.3333 0.3993
La 0.3333 0.6667 0.8993
Pr 0.0000 0.0000 0.2500
Pr 0.0000 0.0000 0.7500
Ho 0.6667 0.3333 0.7500
Ho 0.0000 0.0000 0.0000
Ho 0.0000 0.0000 0.5000
Ho 0.3333 0.6667 0.2500
```

Summary:
SG: P6_3/mmc
Energy in eV per atom: -4.56
Calculated formation energy in eV per atom: 0.200
Relative energy among the computed polymorphs in eV/atom: 0.000

---

12.
## LaPr2Ho (PBE-GGA)

Data for LaPr2Ho after structural relaxation. Values from VASP.

Quantum ESPRESSO input file:
```
&SYSTEM
  ibrav = 0, nat = 4, ntyp = 3
/
ATOMIC_SPECIES
Pr 140.91 Pr.upf
Ho 164.93 Ho.upf
La 138.91 La.upf
CELL_PARAMETERS angstrom
3.6785 0.0000 0.0000
1.8393 3.1857 0.0000
1.8393 1.0619 11.9845
ATOMIC_POSITIONS crystal
Pr 0.7523 0.7523 0.7430
Pr 0.2477 0.2477 0.2570
Ho 0.5000 0.5000 0.5000
La 0.0000 0.0000 0.0000
```

Summary:
SG: R-3m
Energy in eV per atom: -4.75
Calculated formation energy in eV per atom: 0.018
Relative energy among the computed polymorphs in eV/atom: 0.005